A plane-wave DFT calculation with PBE was carried out for a relaxed Zn2InBi2 crystal.

Lattice parameters (Å, degrees): 8.618 8.618 3.446 90.00 90.00 90.00
Sites, in units of the cell vectors:
Zn (0.116, 0.384, 0.000)
Zn (0.384, 0.884, 0.000)
Zn (0.616, 0.116, 0.000)
Zn (0.884, 0.616, 0.000)
In (0.000, 0.000, 0.000)
In (0.500, 0.500, 0.000)
Bi (0.179, 0.679, 0.500)
Bi (0.321, 0.179, 0.500)
Bi (0.679, 0.821, 0.500)
Bi (0.821, 0.321, 0.500)

## Properties
**Formation energy**: 0.148 eV/atom
**Relative energy among the computed polymorphs**: 64.4 meV/atom
**SG**: P4/mbm
**DOS(E_F)**: 4.8 states/eV/cell
**DFT total energy**: -2.46 eV per atom